Compound: Ta2SiB
Source: Alexandria
Functional: PBE
Structure: relaxed

Lattice parameters (Å, degrees): 3.302 3.302 6.463 75.20 75.20 60.00
Atoms (fractional coordinates):
Ta 0.734 0.734 0.798
Si 0.500 0.500 0.500
Ta 0.266 0.266 0.202
B 0.000 0.000 0.000

Summary:
total moment: 0.00 μB/f.u.
excess energy over the best structure of this formula in the dataset: 15.7 kJ/mol of atoms
VASP energy: -37.3 eV/cell
calculated volume: 58.3 Å³/cell
crystal system: trigonal
energy relative to the elements, uncorrected: -0.37 eV per atom